[1]
K2NaSb2 meta-GGA SCAN PBEsol geometry; formation energy without anion corrections = -42.52 kJ per mole of atoms
1.0
-5.089 1.144 0.842
-2.072 -4.247 -6.750
-0.784 -6.832 4.539
K Sb Na
4 4 2
Cartesian
-3.427 -4.745 2.311 K
-4.585 -7.939 -0.352 K
-4.518 -5.189 -3.680 K
-3.359 -1.995 -1.016 K
-0.547 -3.105 0.911 Sb
-1.476 -7.622 1.430 Sb
-1.379 -3.456 -3.641 Sb
-2.309 -7.973 -3.123 Sb
0.000 0.000 0.000 Na
-1.428 -5.539 -1.106 Na

***

[2]
K3NaSb meta-GGA SCAN PBEsol geometry; formation energy without anion corrections = -15.07 kJ per mole of atoms
1.0
-0.862 -2.660 -6.100
6.523 0.878 -1.305
1.315 -6.097 2.473
Na K Sb
1 3 1
Cartesian
3.488 -3.940 -2.466 Na
3.262 0.439 -0.652 K
0.658 -3.049 1.236 K
-0.431 -1.330 -3.050 K
0.000 0.000 0.000 Sb

***

[3]
KNa2Sb2 meta-GGA SCAN PBEsol geometry; offset from the most stable computed form = 31.9 meV/atom; formation energy without anion corrections = -37.99 kJ per mole of atoms
1.0
-0.671 -1.006 -2.985
-6.322 -6.269 3.533
-6.914 6.595 -0.669
K Sb Na
2 4 4
Cartesian
-6.618 0.163 1.432 K
0.000 0.000 0.000 K
-9.879 -0.789 2.485 Sb
-3.357 1.115 0.378 Sb
-5.407 -3.079 2.252 Sb
-7.829 3.405 0.611 Sb
-8.466 -3.515 1.349 Na
-3.570 -2.035 -0.249 Na
-10.337 1.356 0.128 Na
-5.441 2.835 -1.470 Na

***

[4]
KNa2Sb2 meta-GGA SCAN PBEsol geometry; offset from the most stable computed form = 0.0 meV/atom; formation energy without anion corrections = -41.07 kJ per mole of atoms
1.0
-0.179 4.697 -1.802
-4.841 -0.652 -1.218
0.737 0.165 7.388
Sb Na K
2 2 1
Cartesian
-2.883 2.483 -0.272 Sb
-1.400 1.727 4.640 Sb
-3.307 0.768 2.330 Na
-0.976 3.442 2.038 Na
0.000 0.000 0.000 K

***

[5]
K2NaSiSb meta-GGA SCAN PBEsol geometry; formation energy without anion corrections = 40.40 kJ per mole of atoms
1.0
5.523 0.000 0.000
0.000 6.220 0.000
0.000 0.000 6.220
Sb K Na Si
1 2 1 1
Cartesian
2.762 3.110 3.110 Sb
0.000 0.000 3.110 K
0.000 3.110 0.000 K
2.762 0.000 0.000 Na
0.000 0.000 0.000 Si

***

[6]
KNa3Sc meta-GGA SCAN PBEsol geometry; E_form = 833 meV per atom
1.0
-3.586 -4.123 -2.009
4.557 -3.494 -0.963
-0.524 -2.165 5.379
K Sc Na
1 1 3
Cartesian
0.000 0.000 0.000 K
0.223 -4.891 1.204 Sc
-1.793 -2.062 -1.004 Na
-0.262 -1.083 2.690 Na
2.278 -1.747 -0.481 Na

***

[7]
K3NaSe meta-GGA SCAN PBEsol geometry; offset from the most stable computed form = 0.0 meV/atom; formation energy without anion corrections = -64.10 kJ per mole of atoms
1.0
6.310 0.000 0.000
0.000 6.310 0.000
0.000 0.000 6.310
K Se Na
3 1 1
Cartesian
0.000 0.000 3.155 K
0.000 3.155 0.000 K
3.155 0.000 0.000 K
0.000 0.000 0.000 Se
3.155 3.155 3.155 Na

***

[8]
KNaSe3 meta-GGA SCAN PBEsol geometry; formation energy without anion corrections = 26.86 kJ per mole of atoms
1.0
5.831 0.000 0.000
0.000 5.831 0.000
0.000 0.000 5.831
Se K Na
3 1 1
Cartesian
0.000 0.000 2.916 Se
0.000 2.916 0.000 Se
2.916 0.000 0.000 Se
0.000 0.000 0.000 K
2.916 2.916 2.916 Na

***

| no. | total DFT energy (no corrections) (eV for the cell shown) | DOS at the Fermi energy (states/eV per atom) |
| --- | --- | --- |
| 1 | -195.19 | 0.61 |
| 2 | -67.24 | 0.60 |
| 3 | -186.50 | 0.53 |
| 4 | -93.41 | 0.45 |
| 5 | -66.06 | 0.39 |
| 6 | -31.04 | 1.58 |
| 7 | -52.60 | 0.03 |
| 8 | -71.39 | 0.79 |